Entry from Alexandria via LeMat-Bulk: a geometry-optimized MgPdPb structure (PBE).

Cell: 3.449 3.449 11.511 Å, 98.62 98.62 90.00°
Positions (direct):
Pd1 0.287 0.287 0.573
Pd2 0.713 0.713 0.427
Mg1 0.165 0.165 0.329
Mg2 0.835 0.835 0.671
Pb1 0.571 0.571 0.143
Pb2 0.429 0.429 0.857

Output
formation energy from the elements	-28.77	kJ per mole of atoms
space group	I4/mmm (139)
crystal system	tetragonal